[1]
Below is crystalline AcGdMgGa at its relaxed geometry, with properties calculated at the PBE level.

Cell: 7.7248 7.7248 7.7248 Å, 90.00 90.00 90.00°
Last column: nearest neighbours and their distance in Å.
Space group F-43m (No. 216)
One atom of each set of equivalent atoms:
Ac 0.0000 0.0000 0.0000 (multiplicity 4)  4 Mg 3.34, 4 Ga 3.34
Gd 0.0000 0.0000 0.5000 (multiplicity 4)  4 Mg 3.34, 4 Ga 3.34
Mg 0.2500 0.2500 0.2500 (multiplicity 4)  4 Gd 3.34, 4 Ac 3.34
Ga 0.2500 0.2500 0.7500 (multiplicity 4)  4 Gd 3.34, 4 Ac 3.34

For the formation energy, the calculation gives -264 meV per atom.

***

[2]
Below is crystalline Al2CdNi2 at its relaxed geometry, with properties calculated at the PBE level.

Cell: 3.7386 3.7386 10.9868 Å, 90.00 90.00 90.00°
Last column: nearest neighbours and their distance in Å.
Space group I4/mmm (No. 139)
One atom of each set of equivalent atoms:
Al 0.0000 0.5000 0.2500 (multiplicity 4)  4 Ni 2.43, 4 Al 2.64
Cd 0.0000 0.0000 0.0000 (multiplicity 2)  8 Ni 2.90
Ni 0.0000 0.0000 0.3912 (multiplicity 4)  1 Ni 2.39, 4 Al 2.43

For the formation energy, the calculation gives -205 meV per atom.

***

[3]
Below is crystalline BaC3 at its relaxed geometry, with properties calculated at the PBE level.

Cell: 4.8583 12.4396 4.8197 Å, 90.00 90.00 90.00°
Last column: nearest neighbours and their distance in Å.
Space group Cmcm (No. 63)
One atom of each set of equivalent atoms:
Ba 0.0000 0.1336 0.2500 (multiplicity 4)  6 C 2.86-2.97
C 0.0000 0.4587 0.2500 (multiplicity 4)  2 C 1.45
C 0.1445 0.3566 0.2500 (multiplicity 8)  2 C 1.40-1.45

For the formation energy, the calculation gives 836 meV per atom.

***

[4]
Below is crystalline Ca3Ag5 at its relaxed geometry, with properties calculated at the PBE level.

Cell: 7.3799 9.9527 5.1594 Å, 90.00 90.00 90.00°
Last column: nearest neighbours and their distance in Å.
Space group Cmmm (No. 65)
One atom of each set of equivalent atoms:
Ca 0.0000 0.0000 0.0000 (multiplicity 2)  8 Ag 2.99-3.10
Ca 0.0000 0.2877 0.5000 (multiplicity 4)  10 Ag 3.04-3.33
Ag 0.0000 0.5000 0.0000 (multiplicity 2)  8 Ag 3.10-3.38, 4 Ca 3.33
Ag 0.2046 0.0000 0.5000 (multiplicity 4)  6 Ca 2.99-3.24, 1 Ag 3.02
Ag 0.2500 0.2500 0.0000 (multiplicity 4)  6 Ca 3.10-3.19, 2 Ag 3.10

For the formation energy, the calculation gives -221 meV per atom.

***

[5]
Below is crystalline Cs2SrAs at its relaxed geometry, with properties calculated at the PBE level.

Cell: 9.0225 9.0225 9.0225 Å, 90.00 90.00 90.00°
Last column: nearest neighbours and their distance in Å.
Space group Fm-3m (No. 225)
One atom of each set of equivalent atoms:
Cs 0.2500 0.2500 0.2500 (multiplicity 8)  4 As 3.91, 4 Sr 3.91
Sr 0.0000 0.0000 0.0000 (multiplicity 4)  8 Cs 3.91
As 0.0000 0.0000 0.5000 (multiplicity 4)  8 Cs 3.91

For the formation energy, the calculation gives 102 meV per atom.

***

[6]
Below is crystalline HgCIO2 at its relaxed geometry, with properties calculated at the PBE level.

Cell: 3.9839 3.9839 4.5829 Å, 90.00 90.00 90.00°
Last column: nearest neighbours and their distance in Å.
Space group P4/mmm (No. 123)
One atom of each set of equivalent atoms:
Hg 0.0000 0.0000 0.0000 (multiplicity 1)  4 I 2.82, 8 O 3.04
C 0.5000 0.5000 0.5000 (multiplicity 1)  4 O 1.99
I 0.5000 0.5000 0.0000 (multiplicity 1)  2 C 2.29
O 0.0000 0.5000 0.5000 (multiplicity 2)  2 C 1.99

Its uncorrected formation energy is 1.33 eV per atom.

***

[7]
Below is crystalline PmPrHo4S8 at its relaxed geometry, with properties calculated at the PBE level.

Cell: 8.0884 8.0884 20.0375 Å, 90.00 90.00 120.00°
Last column: nearest neighbours and their distance in Å.
Space group R3m (No. 160, hexagonal axes)
One atom of each set of equivalent atoms:
Pm 0.0000 0.0000 0.0000 (multiplicity 3)  6 S 2.82-2.86
Pr 0.0000 0.0000 0.6256 (multiplicity 3)  4 S 2.71-2.74
Ho 0.0000 0.0000 0.3734 (multiplicity 3)  4 S 2.60-2.64
Ho 0.1677 0.3354 0.8321 (multiplicity 9)  6 S 2.73-2.78
S 0.0000 0.0000 0.2415 (multiplicity 3)  4 Ho 2.64-2.78
S 0.0000 0.0000 0.7623 (multiplicity 3)  3 Ho 2.73, 1 Pr 2.74
S 0.0120 0.5060 0.7545 (multiplicity 9)  3 Ho 2.60-2.77, 1 Pm 2.86
S 0.1796 0.3592 0.5756 (multiplicity 9)  1 Pr 2.71, 2 Ho 2.73, 1 Pm 2.82

Its uncorrected formation energy is -1.92 eV per atom.

***

[8]
Below is crystalline HfCuPdAu at its relaxed geometry, with properties calculated at the PBE level.

Cell: 6.4413 6.4413 6.4413 Å, 90.00 90.00 90.00°
Last column: nearest neighbours and their distance in Å.
Space group F-43m (No. 216)
One atom of each set of equivalent atoms:
Hf 0.0000 0.0000 0.0000 (multiplicity 4)  4 Au 2.79, 4 Pd 2.79
Cu 0.0000 0.0000 0.5000 (multiplicity 4)  4 Pd 2.79, 4 Au 2.79
Pd 0.2500 0.2500 0.2500 (multiplicity 4)  4 Hf 2.79, 4 Cu 2.79
Au 0.2500 0.2500 0.7500 (multiplicity 4)  4 Cu 2.79, 4 Hf 2.79

For the formation energy, the calculation gives -435 meV per atom.

***

[9]
Below is crystalline AcDy12Tm3 at its relaxed geometry, with properties calculated at the PBE level.

Cell: 5.0307 5.0307 20.1397 Å, 90.00 90.00 90.00°
Last column: nearest neighbours and their distance in Å.
Space group P4/mmm (No. 123)
One atom of each set of equivalent atoms:
Ac 0.0000 0.0000 0.0000 (multiplicity 1)  12 Dy 3.56-3.66
Dy 0.0000 0.5000 0.1317 (multiplicity 4)  2 Tm 3.51, 8 Dy 3.54-3.66, 2 Ac 3.66
Dy 0.0000 0.5000 0.3772 (multiplicity 4)  8 Dy 3.52-3.56, 4 Tm 3.53-3.54
Dy 0.5000 0.5000 0.0000 (multiplicity 1)  4 Ac 3.56, 8 Dy 3.66
Dy 0.5000 0.5000 0.2552 (multiplicity 2)  8 Dy 3.52-3.54, 4 Tm 3.56
Dy 0.5000 0.5000 0.5000 (multiplicity 1)  8 Dy 3.53, 4 Tm 3.56
Tm 0.0000 0.0000 0.2536 (multiplicity 2)  12 Dy 3.51-3.56
Tm 0.0000 0.0000 0.5000 (multiplicity 1)  12 Dy 3.53-3.56

For the formation energy, the calculation gives 34 meV per atom.

***

[10]
Below is crystalline Cd2InTe at its relaxed geometry, with properties calculated at the PBE level.

Cell: 4.2288 4.4451 6.0183 Å, 90.00 90.00 90.00°
Last column: nearest neighbours and their distance in Å.
Space group Pmmm (No. 47)
One atom of each set of equivalent atoms:
Cd 0.0000 0.0000 0.0000 (multiplicity 1)  4 Te 3.07
Cd 0.5000 0.0000 0.5000 (multiplicity 1)  4 In 3.07
In 0.0000 0.5000 0.5000 (multiplicity 1)  4 Cd 3.07
Te 0.5000 0.5000 0.0000 (multiplicity 1)  4 Cd 3.07

Its uncorrected formation energy is -0.02 eV per atom.

***

[11]
Below is crystalline La3Cd2Au at its relaxed geometry, with properties calculated at the PBE level.

Cell: 3.8861 3.8861 11.6252 Å, 90.00 90.00 90.00°
Last column: nearest neighbours and their distance in Å.
Space group P4/mmm (No. 123)
One atom of each set of equivalent atoms:
La 0.0000 0.0000 0.0000 (multiplicity 1)  8 Cd 3.37
La 0.0000 0.0000 0.3475 (multiplicity 2)  4 Au 3.27, 4 Cd 3.45, 1 La 3.55
Cd 0.5000 0.5000 0.1680 (multiplicity 2)  8 La 3.37-3.45
Au 0.5000 0.5000 0.5000 (multiplicity 1)  8 La 3.27

For the formation energy, the calculation gives -482 meV per atom.

***

[12]
Below is crystalline La5PmPr5 at its relaxed geometry, with properties calculated at the PBE level.

Cell: 6.3396 6.3396 11.5572 Å, 90.00 90.00 120.00°
Last column: nearest neighbours and their distance in Å.
Space group P-6m2 (No. 187)
One atom of each set of equivalent atoms:
La 0.0000 0.0000 0.2322 (multiplicity 2)  1 Pr 3.09, 3 La 3.28
La 0.3437 0.1718 0.0000 (multiplicity 3)  6 La 3.07-3.28
Pm 0.3333 0.6667 0.5000 (multiplicity 1)  5 Pr 3.66-3.70
Pr 0.0000 0.0000 0.5000 (multiplicity 1)  2 La 3.09
Pr 0.3333 0.6667 0.1796 (multiplicity 2)  1 Pm 3.70, 9 La 3.71-3.79, 3 Pr 4.08
Pr 0.6667 0.3333 0.3351 (multiplicity 2)  7 Pr 3.81-4.13, 6 La 3.85-4.26, 3 Pm 4.13

For the formation energy, the calculation gives 240 meV per atom.

***

no.,magnetization (μB per atom)
1,1.897
2,0.000
3,0.000
4,0.000
5,0.000
6,0.094
7,0.000
8,0.000
9,0.000
10,0.000
11,0.000
12,0.000